# 1
First-principles (GGA-PBE) data for crystalline Li2MgAl2ZnPt2 at its relaxed geometry, as listed in OQMD.

Results
Energy = -31.98 eV for the cell shown
Space-group type = No. 115
Spin magnetization = 0.0 μB/f.u.

```
Li2MgAl2ZnPt2
1.0
4.349 0.000 0.000
0.000 4.349 0.000
0.000 0.000 6.157
Pt Al Mg Li Zn
2 2 1 2 1
Direct
0.000 0.500 0.256
0.500 0.000 0.744
0.500 0.500 0.500
0.000 0.000 0.000
0.500 0.500 0.000
0.000 0.500 0.735
0.500 0.000 0.265
0.000 0.000 0.500
```


# 2
First-principles (GGA-PBE) data for crystalline Li2MgZrAl2Pt2 at its relaxed geometry, as listed in OQMD.

Results
Energy = -38.34 eV for the cell shown
Space-group type = No. 115
Spin magnetization = 0.0 μB/f.u.

```
Li2MgZrAl2Pt2
1.0
4.287 0.000 0.000
0.000 4.287 0.000
0.000 0.000 6.691
Al Pt Mg Li Zr
2 2 1 2 1
Direct
0.000 0.500 0.238
0.500 0.000 0.762
0.000 0.000 0.500
0.500 0.500 0.000
0.000 0.000 0.000
0.000 0.500 0.765
0.500 0.000 0.235
0.500 0.500 0.500
```


# 3
First-principles (GGA-PBE) data for crystalline LiAlMo at its relaxed geometry, as listed in OQMD.

Results
Energy = -14.19 eV for the cell shown
Space-group type = No. 216
Excess energy over the best structure of this formula in the dataset = 0 meV per atom
Spin magnetization = 2.0 μB/f.u.

```
LiAlMo
1.0
0.000 3.009 3.009
3.009 0.000 3.009
3.009 3.009 0.000
Al Mo Li
1 1 1
Direct
0.000 0.000 0.000
0.750 0.750 0.750
0.250 0.250 0.250
```


# 4
First-principles (GGA-PBE) data for crystalline Li2NbAl2MoOs2 at its relaxed geometry, as listed in OQMD.

Results
Energy = -57.42 eV for the cell shown
Space-group type = No. 115
Spin magnetization = 0.0 μB/f.u.

```
Li2NbAl2MoOs2
1.0
4.325 0.000 0.000
0.000 4.325 0.000
0.000 0.000 6.117
Os Mo Al Nb Li
2 1 2 1 2
Direct
0.500 0.000 0.759
0.000 0.500 0.241
0.000 0.000 0.000
0.000 0.000 0.500
0.500 0.500 0.000
0.500 0.500 0.500
0.000 0.500 0.751
0.500 0.000 0.249
```


# 5
First-principles (GGA-PBE) data for crystalline LiAlNiMo at its relaxed geometry, as listed in OQMD.

Results
Energy = -22.10 eV for the cell shown
Space-group type = No. 216
Excess energy over the best structure of this formula in the dataset = 0 meV per atom
Spin magnetization = 2.0 μB/f.u.

```
LiAlNiMo
1.0
0.000 2.969 2.969
2.969 0.000 2.969
2.969 2.969 0.000
Ni Mo Li Al
1 1 1 1
Direct
0.750 0.750 0.750
0.500 0.500 0.500
0.250 0.250 0.250
0.000 0.000 0.000
```


# 6
First-principles (GGA-PBE) data for crystalline LiAlNiMo at its relaxed geometry, as listed in OQMD.

Results
Energy = -21.52 eV for the cell shown
Space-group type = No. 216
Excess energy over the best structure of this formula in the dataset = 143 meV per atom
Spin magnetization = 2.1 μB/f.u.

```
LiAlNiMo
1.0
0.000 2.987 2.987
2.987 0.000 2.987
2.987 2.987 0.000
Li Al Ni Mo
1 1 1 1
Direct
0.500 0.500 0.500
0.000 0.000 0.000
0.750 0.750 0.750
0.250 0.250 0.250
```


# 7
First-principles (GGA-PBE) data for crystalline Sr4Li2Ta2Al2N8O at its relaxed geometry, as listed in OQMD.

Results
Energy = -276.43 eV for the cell shown
Space-group type = No. 14
Spin magnetization = 0.0 μB/f.u.

```
Sr4Li2Ta2Al2N8O
1.0
-3.787 3.590 -2.964
-3.614 -7.906 -4.956
-3.024 -4.456 9.314
N Ta Al Sr Li O
16 4 4 8 4 2
Direct
0.125 0.371 0.408
0.004 0.304 0.092
0.572 0.334 0.332
0.125 0.129 0.908
0.428 0.666 0.668
0.875 0.629 0.592
0.572 0.166 0.832
0.824 0.411 0.797
0.004 0.196 0.592
0.176 0.911 0.703
0.428 0.834 0.168
0.875 0.871 0.092
0.176 0.589 0.203
0.996 0.696 0.908
0.996 0.804 0.408
0.824 0.089 0.297
0.228 0.403 0.264
0.772 0.903 0.236
0.772 0.597 0.736
0.228 0.097 0.764
0.889 0.253 0.905
0.111 0.753 0.595
0.111 0.747 0.095
0.889 0.247 0.405
0.768 0.565 0.299
0.566 0.259 0.074
0.434 0.741 0.926
0.434 0.759 0.426
0.232 0.435 0.701
0.768 0.935 0.799
0.566 0.241 0.574
0.232 0.065 0.201
0.813 0.490 0.006
0.187 0.990 0.494
0.813 0.010 0.506
0.187 0.510 0.994
0.500 0.500 0.000
0.500 0.000 0.500
```


# 8
First-principles (GGA-PBE) data for crystalline LiNb2Al at its relaxed geometry, as listed in OQMD.

Results
Energy = -24.90 eV for the cell shown
Space-group type = No. 216
Spin magnetization = 0.3 μB/f.u.

```
LiNb2Al
1.0
0.000 3.225 3.225
3.225 0.000 3.225
3.225 3.225 0.000
Nb Li Al
2 1 1
Direct
0.750 0.750 0.750
0.000 0.000 0.000
0.250 0.250 0.250
0.500 0.500 0.500
```